# GGA-PBE EuAlAu, relaxed
data_EuAlAu
_chemical_formula_sum 'Eu2 Al2 Au2'
_cell_length_a 3.486
_cell_length_b 3.486
_cell_length_c 11.319
_cell_angle_alpha 90.00
_cell_angle_beta 90.00
_cell_angle_gamma 90.00
_space_group_name_H-M_alt 'I 4 m m'
_space_group_IT_number 107
_space_group_name_Hall 'I 4 -2'
loop_
_atom_site_label
_atom_site_fract_x
_atom_site_fract_y
_atom_site_fract_z
Eu1 0.000 0.000 0.000
Al1 0.000 0.000 0.703
Au1 0.000 0.000 0.303
# Final energy: -37.5 eV per cell



# GGA-PBE Eu2Al3Au6, relaxed
data_Eu2Al3Au6
_chemical_formula_sum 'Eu12 Al18 Au36'
_cell_length_a 8.4880
_cell_length_b 8.4880
_cell_length_c 21.8448
_cell_angle_alpha 90.00
_cell_angle_beta 90.00
_cell_angle_gamma 120.00
_space_group_name_H-M_alt 'R -3 c'
_space_group_IT_number 167
_space_group_name_Hall '-R 3 2"c'
loop_
_atom_site_label
_atom_site_fract_x
_atom_site_fract_y
_atom_site_fract_z
Eu1 0.0000 0.0000 0.0897
Al1 0.0000 0.1913 0.2500
Au1 0.0176 0.3716 0.3484
# Final energy: -352.5 eV per cell



Total magnetic moment / μB/cell: 14.296, 83.870